No. 1
Compound: Pm3InP2Rh9
Source: Alexandria via LeMat-Bulk
Functional: PBE
Structure: optimized geometry

Results
For the formation enthalpy at 0 K, the calculation gives -600 meV/atom. As for the density: 8.45 g/cm³. For the magnetic moment, the calculation gives 0.0000 μB/atom.

Unit cell a=6.0773 b=6.0773 c=9.4471 alpha=90.00 beta=90.00 gamma=120.00
With the nearest neighbours (Å) after each atom.
Fractional coordinates of all 15 atoms:
Pm 0.0000 0.0000 0.0000  12 Rh 2.95-3.04
Pm 0.3333 0.6667 0.7144  9 Rh 3.05-3.22
Pm 0.6667 0.3333 0.2856  9 Rh 3.05-3.22
In 0.0000 0.0000 0.5000  6 Rh 2.72
P 0.3333 0.6667 0.1576  6 Rh 2.18-2.30
P 0.6667 0.3333 0.8424  6 Rh 2.18-2.30
Rh 0.0000 0.5000 0.0000  2 P 2.30
Rh 0.1494 0.2989 0.2648  1 P 2.18
Rh 0.1494 0.8506 0.2648  1 P 2.18
Rh 0.2989 0.1494 0.7352  1 P 2.18
Rh 0.5000 0.0000 0.0000  2 P 2.30
Rh 0.5000 0.5000 0.0000  2 P 2.30
Rh 0.7011 0.8506 0.2648  1 P 2.18
Rh 0.8506 0.1494 0.7352  1 P 2.18
Rh 0.8506 0.7011 0.7352  1 P 2.18

No. 2
Compound: PmInP2Rh5
Source: Alexandria via LeMat-Bulk
Functional: PBE
Structure: optimized geometry

Results
For the formation enthalpy at 0 K, the calculation gives -644 meV/atom. As for the density: 8.25 g/cm³. For the magnetic moment, the calculation gives 0.0000 μB/atom.

Unit cell a=4.0844 b=4.0844 c=10.0850 alpha=90.00 beta=90.00 gamma=90.00
With the nearest neighbours (Å) after each atom.
Fractional coordinates of all 9 atoms:
Pm 0.0000 0.0000 0.0000  4 Rh 2.89
In 0.0000 0.0000 0.5000  8 Rh 2.74
P 0.5000 0.5000 0.2239  5 Rh 2.26
P 0.5000 0.5000 0.7761  5 Rh 2.26
Rh 0.0000 0.5000 0.3195  2 P 2.26
Rh 0.0000 0.5000 0.6805  2 P 2.26
Rh 0.5000 0.0000 0.3195  2 P 2.26
Rh 0.5000 0.0000 0.6805  2 P 2.26
Rh 0.5000 0.5000 0.0000  2 P 2.26

No. 3
Compound: Pm2In2PRh4
Source: Alexandria via LeMat-Bulk
Functional: PBE
Structure: optimized geometry

Results
For the formation enthalpy at 0 K, the calculation gives -395 meV/atom. As for the density: 8.77 g/cm³. For the magnetic moment, the calculation gives 0.0000 μB/atom.

Unit cell a=6.3593 b=6.3593 c=6.3593 alpha=119.89 beta=119.89 gamma=90.20
With the nearest neighbours (Å) after each atom.
Fractional coordinates of all 9 atoms:
Pm 0.1986 0.1986 0.0000  1 P 2.71, 4 Rh 2.86
Pm 0.8014 0.8014 0.0000  1 P 2.71, 4 Rh 2.86
In 0.2500 0.7500 0.5000  8 Rh 3.18, 4 Pm 3.22
In 0.7500 0.2500 0.5000  8 Rh 3.18, 4 Pm 3.22
P 0.5000 0.5000 0.0000  4 Rh 2.27
Rh 0.2482 0.2482 0.4964  1 P 2.27
Rh 0.2482 0.7518 0.0000  1 P 2.27
Rh 0.7518 0.2482 0.0000  1 P 2.27
Rh 0.7518 0.7518 0.5036  1 P 2.27